A relaxed Ga4Ag crystal, computed with GGA-PBE.

Results
As for the total energy: -2.619 eV per atom. Its space-group type is Pm-3m, No. 221. The value obtained for the energy above the lowest structure with this stoichiometry is 354.1 meV/atom.

Structure (extended XYZ):
```
5
Lattice="5.002 0.000 0.000 0.000 5.002 0.000 0.000 0.000 5.002" Properties=species:S:1:pos:R:3 pbc="T T T"
Ga 2.501 2.501 0.000
Ga 0.000 0.000 0.000
Ga 2.501 0.000 2.501
Ga 0.000 2.501 2.501
Ag 2.501 2.501 2.501
```


A relaxed Ga4Ag crystal, computed with GGA-PBE.

Results
As for the total energy: -2.969 eV per atom. Its space-group type is C2/c, No. 15. The value obtained for the energy above the lowest structure with this stoichiometry is 4.7 meV/atom.

Structure (extended XYZ):
```
10
Lattice="-4.653 -0.385 3.974 2.858 -1.105 3.225 -1.496 6.757 3.633" Properties=species:S:1:pos:R:3 pbc="T T T"
Ag -2.405 -0.338 6.600
Ag -0.886 5.605 4.232
Ga -0.840 4.570 6.903
Ga -2.451 0.696 3.929
Ga -2.816 4.408 8.584
Ga 1.138 1.897 4.241
Ga -0.475 0.858 2.248
Ga -4.429 3.369 6.591
Ga -2.465 3.531 4.917
Ga -0.826 1.735 5.915
```


A relaxed Ga5Ag crystal, computed with GGA-PBE.

Results
As for the total energy: -2.975 eV per atom. Its space-group type is Cmmm, No. 65. The value obtained for the energy above the lowest structure with this stoichiometry is 3.2 meV/atom.

Structure (extended XYZ):
```
6
Lattice="-3.289 1.475 2.085 -2.328 -0.328 -3.440 -0.454 -5.793 3.383" Properties=species:S:1:pos:R:3 pbc="T T T"
Ga -1.087 -4.003 1.118
Ga -1.695 -2.117 -1.175
Ga -2.178 -1.225 1.590
Ga -3.893 -3.420 0.437
Ga -2.809 0.574 -0.678
Ag 0.000 0.000 0.000
```


A relaxed Ga5Ag2 crystal, computed with GGA-PBE.

Results
As for the total energy: -2.946 eV per atom. Its space-group type is C2/m, No. 12. The value obtained for the energy above the lowest structure with this stoichiometry is 0.0 meV/atom.

Structure (extended XYZ):
```
7
Lattice="-1.611 0.037 3.713 -0.939 -4.340 -2.570 5.947 -1.763 2.598" Properties=species:S:1:pos:R:3 pbc="T T T"
Ga 0.345 -3.167 2.388
Ga 2.168 -0.863 3.155
Ga -0.810 -3.228 -0.319
Ga 4.207 -2.837 4.060
Ga 3.052 -2.898 1.353
Ag 0.949 -1.062 0.422
Ag 2.448 -5.003 3.319
```


A relaxed Ga2Ag3 crystal, computed with GGA-PBE.

Results
As for the total energy: -2.882 eV per atom. Its space-group type is R-3, No. 148. The value obtained for the energy above the lowest structure with this stoichiometry is 10.7 meV/atom.

Structure (extended XYZ):
```
15
Lattice="7.124 0.597 0.472 2.724 6.610 0.472 2.724 1.993 6.320" Properties=species:S:1:pos:R:3 pbc="T T T"
Ag 8.633 4.213 4.272
Ag 7.503 6.677 3.106
Ag 9.398 6.878 5.430
Ag 3.174 2.323 1.834
Ag 3.939 4.989 2.992
Ag 6.626 5.770 5.773
Ag 5.946 3.431 1.490
Ag 5.069 2.524 4.158
Ag 0.000 0.000 0.000
Ga 5.319 6.166 1.113
Ga 4.004 4.310 5.740
Ga 5.086 7.375 4.404
Ga 8.568 4.891 1.524
Ga 7.486 1.826 2.860
Ga 7.253 3.035 6.151
```


A relaxed Ga6Ag crystal, computed with GGA-PBE.

Results
As for the total energy: -2.967 eV per atom. Its space-group type is P4/mmm, No. 123. The value obtained for the energy above the lowest structure with this stoichiometry is 0.0 meV/atom.

Structure (extended XYZ):
```
7
Lattice="-1.425 0.814 3.723 3.160 -1.970 1.640 4.252 6.916 0.115" Properties=species:S:1:pos:R:3 pbc="T T T"
Ga 2.702 0.840 0.850
Ga 2.126 3.458 0.057
Ga 0.410 2.233 1.892
Ga 4.710 4.105 0.904
Ga 0.868 -0.578 2.682
Ga 2.417 5.498 1.946
Ag 0.000 0.000 0.000
```